Record 1
The following is a GGA-PBE calculation of a relaxed structure of CsRbZnO2, from the Alexandria database.

Cell: 5.898 6.063 7.061 Å, 90.00 90.00 90.00°
Sites, in units of the cell vectors:
O (0.912, 0.250, 0.810)
Rb (0.522, 0.250, 0.000)
O (0.088, 0.750, 0.810)
Cs (0.804, 0.750, 0.500)
Cs (0.196, 0.250, 0.500)
Rb (0.478, 0.750, 0.000)
Zn (0.000, 0.500, 0.000)
Zn (0.000, 0.000, 0.000)
O (0.088, 0.750, 0.190)
O (0.912, 0.250, 0.190)

Electronic total energy in eV per atom: -3.517
V in A^3/atom: 25.3
Energy relative to the elements, uncorrected in meV/atom: -915
Crystal system: orthorhombic

Record 2
The following is a GGA-PBE calculation of a relaxed structure of DyNiHg, from the Alexandria database.

Cell: 3.536 4.516 4.516 Å, 120.00 90.00 90.00°
Sites, in units of the cell vectors:
Dy (0.667, 0.667, 0.333)
Ni (0.166, 0.333, 0.667)
Hg (0.167, 0.000, 0.000)

Electronic total energy in eV per atom: -3.873
V in A^3/atom: 20.8
Crystal system: hexagonal
Formation energy in eV/atom: -0.311